No. 1
DFT (PBE) results for a relaxed CsTlSb2 crystal.

offset from the most stable computed form = 23 meV/atom
ΔE_f (raw) = -0.212 eV/atom
raw total energy = -12.31 eV per formula unit
symmetry = P2_1/m (11)

abc: 6.1383 4.9398 11.2870
angles: 90.00 99.13 90.00
Positions (direct):
Cs (0.0473, 0.2500, 0.1841)
Cs (0.9527, 0.7500, 0.8159)
Tl (0.4100, 0.2500, 0.6409)
Tl (0.5900, 0.7500, 0.3591)
Sb (0.1311, 0.7500, 0.4873)
Sb (0.4990, 0.7500, 0.0688)
Sb (0.5010, 0.2500, 0.9312)
Sb (0.8689, 0.2500, 0.5127)

No. 2
DFT (PBE) results for a relaxed La4ZrSb crystal.

ΔE_f (raw) = 0.240 eV/atom
raw total energy = -30.94 eV per formula unit
symmetry = F-43m (216)

abc: 6.4557 6.4557 6.4557
angles: 60.00 60.00 60.00
Positions (direct):
La (0.3764, 0.3764, 0.3764)
La (0.3764, 0.3764, 0.8708)
La (0.3764, 0.8708, 0.3764)
La (0.8708, 0.3764, 0.3764)
Zr (0.7500, 0.7500, 0.7500)
Sb (0.0000, 0.0000, 0.0000)

No. 3
DFT (PBE) results for a relaxed CrNiB crystal.

energy of formation = -206 meV per atom
raw total energy = -22.70 eV per formula unit
symmetry = Cm (8)

abc: 4.3313 4.3313 5.8274
angles: 123.76 123.76 39.26
Positions (direct):
Cr (0.0000, 0.0000, 0.0000)
Cr (0.7359, 0.7359, 0.4148)
Ni (0.1483, 0.1483, 0.6976)
Ni (0.3981, 0.3981, 0.2620)
B (0.4469, 0.4469, 0.6874)
B (0.7017, 0.7017, 0.0029)

No. 4
DFT (PBE) results for a relaxed FeNi3W crystal.

offset from the most stable computed form = 0 meV/atom
energy of formation = 294 meV per atom
raw total energy = -37.29 eV per formula unit
symmetry = Cmcm (63)

abc: 6.7098 6.7098 4.4246
angles: 90.00 90.00 139.79
Positions (direct):
Fe (0.0583, 0.9417, 0.7500)
Fe (0.9417, 0.0583, 0.2500)
Ni (0.1038, 0.3864, 0.7500)
Ni (0.3864, 0.1038, 0.2500)
Ni (0.5000, 0.5000, 0.0000)
Ni (0.5000, 0.5000, 0.5000)
Ni (0.6136, 0.8962, 0.7500)
Ni (0.8962, 0.6136, 0.2500)
W (0.3134, 0.6866, 0.2500)
W (0.6866, 0.3134, 0.7500)

No. 5
DFT (PBE) results for a relaxed HgBSe2O8 crystal.

ΔE_f (raw) = -0.482 eV/atom
raw total energy = -59.40 eV per formula unit
symmetry = C2/m (12)

abc: 6.6056 6.6056 8.1326
angles: 126.95 126.95 43.40
Positions (direct):
Hg (0.0000, 0.0000, 0.0000)
B (0.5000, 0.5000, 0.5000)
Se (0.1826, 0.1826, 0.6381)
Se (0.8174, 0.8174, 0.3619)
O (0.1450, 0.1450, 0.4032)
O (0.1722, 0.6045, 0.3290)
O (0.3534, 0.3534, 0.8591)
O (0.3955, 0.8278, 0.6710)
O (0.6045, 0.1722, 0.3290)
O (0.6466, 0.6466, 0.1409)
O (0.8278, 0.3955, 0.6710)
O (0.8550, 0.8550, 0.5968)

No. 6
DFT (PBE) results for a relaxed US2N2 crystal.

ΔE_f (raw) = -0.697 eV/atom
raw total energy = -39.68 eV per formula unit
symmetry = C2/m (12)

abc: 3.3869 3.3869 10.4757
angles: 91.76 91.76 89.99
Positions (direct):
U (0.0000, 0.0000, 0.0000)
S (0.4864, 0.4864, 0.8583)
S (0.5136, 0.5136, 0.1417)
N (0.0196, 0.0196, 0.4480)
N (0.9804, 0.9804, 0.5520)

No. 7
DFT (PBE) results for a relaxed GaFeSiHN crystal.

offset from the most stable computed form = 45 meV/atom
raw total energy = -29.64 eV per formula unit
symmetry = P3m1 (156)

abc: 2.8343 2.8343 6.7282
angles: 90.00 90.00 120.00
Positions (direct):
Ga (0.0000, 0.0000, 0.0000)
Fe (0.6667, 0.3333, 0.7153)
Si (0.3333, 0.6667, 0.4269)
H (0.0000, 0.0000, 0.6513)
N (0.0000, 0.0000, 0.2967)

No. 8
DFT (PBE) results for a relaxed UInBi4 crystal.

energy of formation = 524 meV per atom
raw total energy = -26.41 eV per formula unit
symmetry = Cmmm (65)

abc: 7.3265 7.3265 4.3410
angles: 90.00 90.00 90.55
Positions (direct):
U (0.0000, 0.0000, 0.0000)
In (0.5000, 0.5000, 0.5000)
Bi (0.2064, 0.7936, 0.5000)
Bi (0.2914, 0.2914, 0.0000)
Bi (0.7086, 0.7086, 0.0000)
Bi (0.7936, 0.2064, 0.5000)

- Which formula does entry 7 have?
  GaFeSiHN

- Which value of raw total energy does entry 7 give?
  -29.64 eV per formula unit